[1]
Entry from Alexandria via LeMat-Bulk: a crystal of CuNiRh2 relaxed with PBEsol (SCAN).

a b c (Å): 3.697 3.697 3.592
angles (deg): 90.00 90.00 90.00
Atoms (fractional coordinates):
Cu 0.000 0.000 0.000
Ni 0.500 0.500 0.000
Rh 0.000 0.500 0.500
Rh 0.500 0.000 0.500

Properties
Uncorrected energy ... -98.45 eV per formula unit
ΔE_f ... 45.2 kJ/mol of formula units
Volume ... 12.28 Å³ per atom

---

[2]
Entry from Alexandria via LeMat-Bulk: a crystal of ReTc3As relaxed with PBEsol (SCAN).

a b c (Å): 4.385 4.385 4.385
angles (deg): 90.00 90.00 90.00
Atoms (fractional coordinates):
Re 0.000 0.000 0.000
Tc 0.000 0.500 0.500
Tc 0.500 0.000 0.500
Tc 0.500 0.500 0.000
As 0.500 0.500 0.500

Properties
Uncorrected energy ... -189.22 eV per formula unit
ΔE_f ... 699.0 kJ/mol of formula units
Volume ... 16.86 Å³ per atom

---

[3]
Entry from Alexandria via LeMat-Bulk: a crystal of La2P4O13 relaxed with PBEsol (SCAN).

a b c (Å): 9.696 9.696 8.864
angles (deg): 90.00 90.00 135.62
Atoms (fractional coordinates):
La 0.103 0.394 0.359
La 0.394 0.103 0.641
La 0.606 0.897 0.141
La 0.897 0.606 0.859
P 0.100 0.417 0.000
P 0.142 0.272 0.734
P 0.272 0.142 0.266
P 0.417 0.100 0.000
P 0.583 0.900 0.500
P 0.728 0.858 0.766
P 0.858 0.728 0.234
P 0.900 0.583 0.500
O 0.033 0.483 0.897
O 0.066 0.767 0.595
O 0.092 0.908 0.250
O 0.176 0.403 0.614
O 0.200 0.369 0.898
O 0.203 0.239 0.287
O 0.233 0.934 0.905
O 0.239 0.203 0.713
O 0.263 0.573 0.112
O 0.369 0.200 0.102
O 0.403 0.176 0.386
O 0.427 0.737 0.388
O 0.483 0.033 0.103
O 0.517 0.967 0.603
O 0.573 0.263 0.888
O 0.597 0.824 0.886
O 0.631 0.800 0.602
O 0.737 0.427 0.612
O 0.761 0.797 0.213
O 0.767 0.066 0.405
O 0.797 0.761 0.787
O 0.800 0.631 0.398
O 0.824 0.597 0.114
O 0.908 0.092 0.750
O 0.934 0.233 0.095
O 0.967 0.517 0.397

Properties
Uncorrected energy ... -265.08 eV per formula unit
Offset from the most stable computed form ... 13 meV/atom
Energy relative to the elements, uncorrected ... -286 kJ/mol of atoms
Volume ... 15.34 Å³ per atom